1.
Compound: TaNi2Hg
Source: the Alexandria database
Functional: PBE-GGA
Structure: relaxed

Geometry as POSCAR:
```
TaNi2Hg
1.0
2.9168 0.0000 0.0000
0.0000 3.2886 0.0000
0.0000 0.0000 6.3554
Ta Ni Hg
1 2 1
Cartesian
0.0000 0.0000 0.0000
0.0000 0.0000 3.7913
1.4584 1.6443 5.0002
1.4584 1.6443 2.1564
```

Values from the calculation:
The volume is 61 Å³/cell. The calculation puts the size of the total moment at 0.0 μB per formula unit. Its space group is Pmm2, No. 25. Its calculated total energy is -5.82 eV per atom.

2.
Compound: TaNiHg2
Source: the Alexandria database
Functional: PBE-GGA
Structure: relaxed

Geometry as POSCAR:
```
TaNiHg2
1.0
0.0000 3.2850 3.2850
3.2850 0.0000 3.2850
3.2850 3.2850 0.0000
Ta Ni Hg
1 1 2
Cartesian
0.0000 0.0000 0.0000
4.9275 4.9275 4.9275
1.6425 1.6425 1.6425
3.2850 3.2850 3.2850
```

Values from the calculation:
The volume is 71 Å³/cell. The calculation puts the size of the total moment at 0.0 μB per formula unit. Its space group is F-43m, No. 216. Its calculated total energy is -4.06 eV per atom.

3.
Compound: TaNi2Hg
Source: the Alexandria database
Functional: PBE-GGA
Structure: relaxed

Geometry as POSCAR:
```
TaNi2Hg
1.0
4.1658 0.0000 0.0000
0.0000 1.4738 4.9150
0.0000 -1.4738 4.9150
Ta Ni Hg
1 2 1
Cartesian
0.0000 0.0000 0.0000
0.0000 0.0000 2.7680
2.0829 0.0000 4.1061
2.0829 0.0000 6.7197
```

Values from the calculation:
The volume is 60 Å³/cell. The calculation puts the size of the total moment at 0.0 μB per formula unit. Its space group is Amm2, No. 38. Its calculated total energy is -5.82 eV per atom.

4.
Compound: Ta2NiHg
Source: the Alexandria database
Functional: PBE-GGA
Structure: relaxed

Geometry as POSCAR:
```
Ta2NiHg
1.0
2.8883 0.0000 0.0000
0.0000 2.8883 0.0000
0.0000 0.0000 8.0643
Ta Ni Hg
2 1 1
Cartesian
0.0000 0.0000 1.7359
0.0000 0.0000 6.3285
1.4442 1.4442 0.0000
1.4442 1.4442 4.0322
```

Values from the calculation:
The volume is 67 Å³/cell. The calculation puts the size of the total moment at 0.0 μB per formula unit. Its space group is P4/mmm, No. 123. Its calculated total energy is -7.33 eV per atom.

5.
Compound: Ta2NiHg2
Source: the Alexandria database
Functional: PBE-GGA
Structure: relaxed

Geometry as POSCAR:
```
Ta2NiHg2
1.0
8.1639 0.0000 0.0000
0.0000 8.1639 0.0000
0.0000 0.0000 3.0058
Ta Ni Hg
4 2 4
Cartesian
0.9703 3.1117 0.0000
3.1117 7.1937 0.0000
5.0523 0.9703 0.0000
7.1937 5.0523 0.0000
0.0000 0.0000 0.0000
4.0820 4.0820 0.0000
1.4595 5.5414 1.5029
2.6225 1.4595 1.5029
5.5414 6.7045 1.5029
6.7045 2.6225 1.5029
```

Values from the calculation:
The volume is 200 Å³/cell. Its energy above the lowest structure with this stoichiometry is 0 meV/atom. The calculation puts the size of the total moment at 0.0 μB per formula unit. Its space group is P4/mbm, No. 127.

6.
Compound: TaNiHg2
Source: the Alexandria database
Functional: PBE-GGA
Structure: relaxed

Geometry as POSCAR:
```
TaNiHg2
1.0
-2.1598 2.1598 3.7832
2.1598 -2.1598 3.7832
2.1598 2.1598 -3.7832
Ta Ni Hg
1 1 2
Cartesian
0.0000 0.0000 0.0000
0.0000 0.0000 3.7832
2.1598 0.0000 1.8916
0.0000 2.1598 1.8916
```

Values from the calculation:
The volume is 71 Å³/cell. The calculation puts the size of the total moment at 0.0 μB per formula unit. Its space group is I4/mmm, No. 139. Its calculated total energy is -4.06 eV per atom.

7.
Compound: Ta4NiHg
Source: the Alexandria database
Functional: PBE-GGA
Structure: relaxed

Geometry as POSCAR:
```
Ta4NiHg
1.0
0.0000 3.8387 3.8387
3.8387 0.0000 3.8387
3.8387 3.8387 0.0000
Ta Ni Hg
4 1 1
Cartesian
0.9598 0.9598 0.9598
2.8789 2.8789 0.9598
2.8789 0.9598 2.8789
0.9598 2.8789 2.8789
3.8387 3.8387 3.8387
5.7581 5.7581 5.7581
```

Values from the calculation:
The volume is 113 Å³/cell. The calculation puts the size of the total moment at 0.0 μB per formula unit. Its space group is F-43m, No. 216. Its calculated total energy is -8.31 eV per atom.

8.
Compound: Ta2NiHg
Source: the Alexandria database
Functional: PBE-GGA
Structure: relaxed

Geometry as POSCAR:
```
Ta2NiHg
1.0
-1.4940 2.4352 4.7184
1.4940 -2.4352 4.7184
1.4940 2.4352 -4.7184
Ta Ni Hg
2 1 1
Cartesian
0.0000 0.0000 0.0000
0.0000 2.4352 2.2864
0.0000 0.0000 4.9763
1.4940 0.0000 2.7204
```

Values from the calculation:
The volume is 69 Å³/cell. The calculation puts the size of the total moment at 0.0 μB per formula unit. Its space group is Imm2, No. 44. Its calculated total energy is -7.22 eV per atom.

Question: size of the total moment of number 8 (Ta2NiHg)?
Answer: 0.0 μB per formula unit